1.
VASP calculation (GGA-PBE) on a geometry-optimized CeY3Sn3 structure.

It has space group P6_3/m (No. 176), with a = 9.2046 Å, b = 9.2046 Å, c = 5.4473 Å, α = 90.00°, β = 90.00° and γ = 120.00°. The distinct sites, in fractional coordinates, are Ce at (0.3333, 0.6667, 0.2500), Y at (0.0050, 0.2416, 0.2500) and Sn at (0.0732, 0.4479, 0.7500).

The density of states at the Fermi level is 21.88 states/eV per cell. The value obtained for the electronic total energy is -41.1 eV/f.u.

2.
VASP calculation (GGA-PBE) on a geometry-optimized PPb structure.

It has space group P6_3mc (No. 186), with a = 4.2003 Å, b = 4.2003 Å, c = 8.2668 Å, α = 90.00°, β = 90.00° and γ = 120.00°. The distinct sites, in fractional coordinates, are P at (0.3333, 0.6667, 0.0000) and Pb at (0.3333, 0.6667, 0.3503).

The density of states at the Fermi level is 1.04 states/eV per cell. The value obtained for the electronic total energy is -8.6 eV/f.u.

3.
VASP calculation (GGA-PBE) on a geometry-optimized ZrTiTc3 structure.

It has space group Pm-3m (No. 221), with a = 4.525 Å, b = 4.525 Å, c = 4.525 Å, α = 90.00°, β = 90.00° and γ = 90.00°. The distinct sites, in fractional coordinates, are Zr at (0.000, 0.000, 0.000), Ti at (0.500, 0.500, 0.500) and Tc at (0.000, 0.500, 0.500).

The density of states at the Fermi level is 7.82 states/eV per cell. The value obtained for the electronic total energy is -43.6 eV/f.u.

4.
VASP calculation (GGA-PBE) on a geometry-optimized Sc2Sb2S structure.

It has space group P4/mbm (No. 127), with a = 7.145 Å, b = 7.145 Å, c = 4.473 Å, α = 90.00°, β = 90.00° and γ = 90.00°. The distinct sites, in fractional coordinates, are Sc at (0.175, 0.325, 0.000), Sb at (0.140, 0.640, 0.500) and S at (0.000, 0.000, 0.000).

The density of states at the Fermi level is 7.95 states/eV per cell. The value obtained for the uncorrected formation energy is -879 meV/atom. The value obtained for the electronic total energy is -29.4 eV/f.u.

5.
VASP calculation (GGA-PBE) on a geometry-optimized ZrTi4Mn structure.

It has space group C2/m (No. 12), with a = 9.642 Å, b = 4.491 Å, c = 5.543 Å, α = 90.00°, β = 122.41° and γ = 90.00°. The distinct sites, in fractional coordinates, are Zr at (0.000, 0.000, 0.000), Ti at (0.143, 0.500, 0.795), Ti at (0.214, 0.500, 0.358) and Mn at (0.000, 0.000, 0.500).

The density of states at the Fermi level is 9.96 states/eV per cell. The value obtained for the electronic total energy is -49.6 eV/f.u.

6.
VASP calculation (GGA-PBE) on a geometry-optimized AcHoCd structure.

It has space group P4/nmm (No. 129, origin choice 2), with a = 4.849 Å, b = 4.849 Å, c = 8.710 Å, α = 90.00°, β = 90.00° and γ = 90.00°. The distinct sites, in fractional coordinates, are Ac at (0.250, 0.250, 0.156), Ho at (0.250, 0.250, 0.716) and Cd at (0.250, 0.750, 0.500).

The density of states at the Fermi level is 6.32 states/eV per cell. The value obtained for the electronic total energy is -9.6 eV/f.u.